Re4Tc3Os2: relaxed, PBE.

abc: 4.7823 7.0898 8.5624
angles: 108.06 106.10 90.07
With the nearest neighbours (Å) after each atom.
Space group P-1 (No. 2)
Symmetry-distinct sites (fractional):
Re  0.0035  0.0881  0.1710 [2 per cell]  2 Os 2.69, 5 Tc 2.70-2.78, 5 Re 2.77-2.80
Re  0.1149  0.8644  0.3921 [2 per cell]  3 Re 2.69-2.77, 5 Tc 2.69-2.78, 4 Os 2.71-2.77
Re  0.3328  0.4146  0.8310 [2 per cell]  3 Os 2.71-2.76, 5 Tc 2.71-2.78, 4 Re 2.73-2.77
Re  0.4459  0.1959  0.0559 [2 per cell]  1 Os 2.72, 6 Re 2.73-2.77, 5 Tc 2.73-2.78
Tc  0.1066  0.6903  0.0518 [2 per cell]  2 Tc 2.67-2.78, 2 Os 2.69-2.77, 8 Re 2.72-2.78
Tc  0.2211  0.6376  0.6105 [2 per cell]  4 Re 2.70-2.77, 2 Tc 2.71-2.73, 6 Os 2.71-2.78
Tc  0.4414  0.0272  0.7216 [2 per cell]  8 Re 2.69-2.78, 2 Tc 2.73-2.78, 2 Os 2.74-2.78
Os  0.2201  0.4714  0.2766 [2 per cell]  5 Tc 2.69-2.78, 5 Re 2.69-2.76, 2 Os 2.74-2.77
Os  0.3312  0.2513  0.5000 [2 per cell]  5 Re 2.69-2.77, 5 Tc 2.71-2.78, 2 Os 2.74-2.77

Output
- Final energy: -11.529 eV/atom
- DOS at the Fermi energy: 0.988 states/eV per atom
- ΔH_f (0 K): -0.045 eV/atom